# AlSn2Ge | the Alexandria database | PBE | optimized geometry
data_AlSn2Ge
_chemical_formula_sum 'Al4 Sn8 Ge4'
_space_group_name_H-M_alt 'F m -3 m'
_space_group_IT_number 225
_space_group_name_Hall '-F 4 2 3'
_cell_length_a 7.1641
_cell_length_b 7.1641
_cell_length_c 7.1641
_cell_angle_alpha 90.00
_cell_angle_beta 90.00
_cell_angle_gamma 90.00
loop_
_atom_site_label
_atom_site_type_symbol
_atom_site_fract_x
_atom_site_fract_y
_atom_site_fract_z
_atom_site_occupancy
Al1 Al 0.0000 0.0000 0.0000 1
Sn1 Sn 0.2500 0.2500 0.2500 1
Ge1 Ge 0.0000 0.0000 0.5000 1
# Offset from the most stable computed form (meV per atom): 63

---

# Al3SnGe | the Alexandria database | PBE | optimized geometry
data_Al3SnGe
_chemical_formula_sum 'Al3 Sn1 Ge1'
_space_group_name_H-M_alt 'P m -3 m'
_space_group_IT_number 221
_space_group_name_Hall '-P 4 2 3'
_cell_length_a 5.2150
_cell_length_b 5.2150
_cell_length_c 5.2150
_cell_angle_alpha 90.00
_cell_angle_beta 90.00
_cell_angle_gamma 90.00
loop_
_atom_site_label
_atom_site_type_symbol
_atom_site_fract_x
_atom_site_fract_y
_atom_site_fract_z
_atom_site_occupancy
Al1 Al 0.0000 0.0000 0.5000 1
Sn1 Sn 0.0000 0.0000 0.0000 1
Ge1 Ge 0.5000 0.5000 0.5000 1
# Offset from the most stable computed form (meV per atom): 475

---

# Al2TlSnGe | the Alexandria database | PBE | optimized geometry
data_Al2TlSnGe
_chemical_formula_sum 'Al2 Tl1 Sn1 Ge1'
_space_group_name_H-M_alt 'P 4/m m m'
_space_group_IT_number 123
_space_group_name_Hall '-P 4 2'
_cell_length_a 5.1562
_cell_length_b 5.1562
_cell_length_c 5.8224
_cell_angle_alpha 90.00
_cell_angle_beta 90.00
_cell_angle_gamma 90.00
loop_
_atom_site_label
_atom_site_type_symbol
_atom_site_fract_x
_atom_site_fract_y
_atom_site_fract_z
_atom_site_occupancy
Al1 Al 0.0000 0.5000 0.0000 1
Tl1 Tl 0.0000 0.0000 0.0000 1
Sn1 Sn 0.0000 0.0000 0.5000 1
Ge1 Ge 0.5000 0.5000 0.5000 1
# DFT total energy (eV per atom): -2.710

---

# Sr4Al3Ge | the Alexandria database | PBE | optimized geometry
data_Sr4Al3Ge
_chemical_formula_sum 'Sr4 Al3 Ge1'
_space_group_name_H-M_alt 'P m m 2'
_space_group_IT_number 25
_space_group_name_Hall 'P 2 -2'
_cell_length_a 4.4527
_cell_length_b 4.8356
_cell_length_c 12.0592
_cell_angle_alpha 90.00
_cell_angle_beta 90.00
_cell_angle_gamma 90.00
loop_
_atom_site_label
_atom_site_type_symbol
_atom_site_fract_x
_atom_site_fract_y
_atom_site_fract_z
_atom_site_occupancy
Sr1 Sr 0.0000 0.0000 0.0000 1
Sr2 Sr 0.0000 0.5000 0.4908 1
Sr3 Sr 0.5000 0.0000 0.7094 1
Sr4 Sr 0.5000 0.5000 0.2124 1
Al1 Al 0.0000 0.5000 0.7958 1
Al2 Al 0.5000 0.0000 0.4105 1
Al3 Al 0.5000 0.5000 0.9126 1
Ge1 Ge 0.0000 0.0000 0.2850 1
# DFT total energy (eV per atom): -3.127

---

# SrAlGe3 | the Alexandria database | PBE | optimized geometry
data_SrAlGe3
_chemical_formula_sum 'Sr1 Al1 Ge3'
_space_group_name_H-M_alt 'P m -3 m'
_space_group_IT_number 221
_space_group_name_Hall '-P 4 2 3'
_cell_length_a 4.9990
_cell_length_b 4.9990
_cell_length_c 4.9990
_cell_angle_alpha 90.00
_cell_angle_beta 90.00
_cell_angle_gamma 90.00
loop_
_atom_site_label
_atom_site_type_symbol
_atom_site_fract_x
_atom_site_fract_y
_atom_site_fract_z
_atom_site_occupancy
Sr1 Sr 0.0000 0.0000 0.0000 1
Al1 Al 0.5000 0.5000 0.5000 1
Ge1 Ge 0.0000 0.5000 0.5000 1
# DFT total energy (eV per atom): -3.808

---

# SrAl2Ge2 | the Alexandria database | PBE | optimized geometry
data_SrAl2Ge2
_chemical_formula_sum 'Sr3 Al6 Ge6'
_space_group_name_H-M_alt 'R -3 m'
_space_group_IT_number 166
_space_group_name_Hall '-R 3 2"'
_cell_length_a 4.2416
_cell_length_b 4.2416
_cell_length_c 23.6506
_cell_angle_alpha 90.00
_cell_angle_beta 90.00
_cell_angle_gamma 120.00
loop_
_atom_site_label
_atom_site_type_symbol
_atom_site_fract_x
_atom_site_fract_y
_atom_site_fract_z
_atom_site_occupancy
Sr1 Sr 0.0000 0.0000 0.0000 1
Al1 Al 0.0000 0.0000 0.2166 1
Ge1 Ge 0.0000 0.0000 0.4238 1
# DFT total energy (eV per atom): -3.784

---

# SrAlGe3 | the Alexandria database | PBE | optimized geometry
data_SrAlGe3
_chemical_formula_sum 'Sr1 Al1 Ge3'
_space_group_name_H-M_alt 'P m -3 m'
_space_group_IT_number 221
_space_group_name_Hall '-P 4 2 3'
_cell_length_a 5.6379
_cell_length_b 5.6379
_cell_length_c 5.6379
_cell_angle_alpha 90.00
_cell_angle_beta 90.00
_cell_angle_gamma 90.00
loop_
_atom_site_label
_atom_site_type_symbol
_atom_site_fract_x
_atom_site_fract_y
_atom_site_fract_z
_atom_site_occupancy
Sr1 Sr 0.0000 0.0000 0.0000 1
Al1 Al 0.5000 0.5000 0.5000 1
Ge1 Ge 0.0000 0.0000 0.5000 1
# DFT total energy (eV per atom): -2.589

---

# Sr2Al2Ge3 | the Alexandria database | PBE | optimized geometry
data_Sr2Al2Ge3
_chemical_formula_sum 'Sr8 Al8 Ge12'
_space_group_name_H-M_alt 'C 1 2/m 1'
_space_group_IT_number 12
_space_group_name_Hall '-C 2y'
_cell_length_a 16.8570
_cell_length_b 4.2193
_cell_length_c 12.3081
_cell_angle_alpha 90.00
_cell_angle_beta 125.49
_cell_angle_gamma 90.00
loop_
_atom_site_label
_atom_site_type_symbol
_atom_site_fract_x
_atom_site_fract_y
_atom_site_fract_z
_atom_site_occupancy
Sr1 Sr 0.1158 0.0000 0.4569 1
Sr2 Sr 0.2330 0.0000 0.8390 1
Al1 Al 0.0326 0.5000 0.8045 1
Al2 Al 0.0816 0.0000 0.1422 1
Ge1 Ge 0.0690 0.5000 0.6202 1
Ge2 Ge 0.1068 0.0000 0.9534 1
Ge3 Ge 0.1519 0.5000 0.2904 1
# DFT total energy (eV per atom): -3.973

---

Number 1: density 6.089 g/cm3, density of states at the Fermi level 2.3 states/eV/f.u.. Number 2: density 3.188 g/cm3, density of states at the Fermi level 4.6 states/eV/f.u.. Number 3: density 4.824 g/cm3, density of states at the Fermi level 4.0 states/eV/f.u.. Number 4: density 3.224 g/cm3, density of states at the Fermi level 6.8 states/eV/f.u.. Number 5: density 4.420 g/cm3, density of states at the Fermi level 3.0 states/eV/f.u.. Number 6: density 3.878 g/cm3, density of states at the Fermi level 3.3 states/eV/f.u.. Number 7: density 3.081 g/cm3, density of states at the Fermi level 6.2 states/eV/f.u.. Number 8: density 4.167 g/cm3, density of states at the Fermi level 3.0 states/eV/f.u..